Crystalline Ba3LiAu at its relaxed geometry. Source: Alexandria, functional PBE.

The final energy is -2.422 eV per atom. The volume is 267.6 Å³ per cell. Its energy of formation is -0.23 eV per atom. Its excess energy over the best structure of this formula in the dataset is 41 meV per atom. The calculation puts the density of states at the Fermi level at 4.3 states/eV per cell.

The space group is Pm-3m (No. 221) and the conventional cell measures 6.444, 6.444 and 6.444 Å, with angles of 90.00, 90.00 and 90.00 degrees. The inequivalent atoms are Ba at (0.000, 0.000, 0.500), Li at (0.500, 0.500, 0.500) and Au at (0.000, 0.000, 0.000).

Crystalline LiZnI2Cl at its relaxed geometry. Source: Alexandria, functional PBE.

The final energy is -1.801 eV per atom. The volume is 173.7 Å³ per cell. The calculation puts the density of states at the Fermi level at 5.9 states/eV per cell.

The space group is P4/mmm (No. 123) and the conventional cell measures 6.263, 6.263 and 4.427 Å, with angles of 90.00, 90.00 and 90.00 degrees. The inequivalent atoms are Li at (0.000, 0.000, 0.000), Zn at (0.500, 0.500, 0.000), I at (0.000, 0.500, 0.500) and Cl at (0.000, 0.000, 0.500).